{
  "formula": "Sm2ScTl9",
  "functional": "PBE",
  "state": "optimized geometry",
  "volume_a3_per_atom": 27.07,
  "e_form_ev_per_atom": -0.226,
  "dos_at_fermi_per_ev_fu": 4.46,
  "final_energy_ev_per_fu": -39.78,
  "cell": [[-4.6778, 0.8980, 0.2803], [0.2513, -0.1775, 4.7615], [2.7109, 14.0036, 0.3790]],
  "species": ["Sm", "Sm", "Sc", "Tl", "Tl", "Tl", "Tl", "Tl", "Tl", "Tl", "Tl", "Tl"],
  "frac_coords": [[0.0000, 0.0000, 0.3300], [0.0000, 0.0000, 0.6700], [0.0000, 0.0000, 0.0000], [0.5000, 0.5000, 0.0000], [0.5000, 0.5000, 0.3313], [0.5000, 0.5000, 0.6687], [0.5000, 0.0000, 0.1599], [0.5000, 0.0000, 0.5000], [0.5000, 0.0000, 0.8401], [0.0000, 0.5000, 0.1599], [0.0000, 0.5000, 0.5000], [0.0000, 0.5000, 0.8401]]
}